First-principles (GGA-PBE) data for a relaxed structure of PaHgC, as listed in the Alexandria database.

a b c (Å): 4.132 4.132 7.277
angles (deg): 89.98 90.02 90.00
Fractional coordinates of all 6 atoms:
Pa 0.250 0.750 0.356
Pa 0.750 0.250 0.644
Hg 0.250 0.750 0.893
Hg 0.750 0.250 0.107
C 0.750 0.750 0.500
C 0.250 0.250 0.500

Values from the calculation:
SG: P4/nmm (129)
energy relative to the lowest polymorph listed for this composition: 0.0 meV/atom
ΔH_f (0 K): -221 meV per atom